Density functional theory data (GGA+U) for an optimized crystal structure of Ba2YV2F11.

POSCAR file:
```
Ba2YV2F11
1.0
7.9576 0.0000 0.0000
-3.9788 6.8915 0.0000
0.0000 0.0000 14.0074
F Ba Y V
33 6 3 6
Direct
0.0202 0.0774 0.3957
0.5035 0.4859 0.6826
0.6184 0.8689 0.7509
0.9141 0.5583 0.6950
0.9226 0.9428 0.0624
0.7499 0.4065 0.5071
0.0572 0.9798 0.7290
0.9842 0.6899 0.1961
0.8632 0.7858 0.5694
0.2259 0.5278 0.2764
0.7531 0.7114 0.3455
0.4417 0.3558 0.3617
0.1311 0.7495 0.4176
0.5935 0.3434 0.1738
0.8301 0.7163 0.8680
0.2505 0.3816 0.0843
0.9824 0.4965 0.0160
0.3101 0.2943 0.8627
0.9583 0.2469 0.6789
0.5811 0.6989 0.1776
0.2142 0.0773 0.2361
0.9227 0.1368 0.9028
0.2837 0.1138 0.5347
0.2886 0.0417 0.0122
0.7057 0.0158 0.5294
0.3020 0.7741 0.6098
0.4722 0.6980 0.9431
0.6566 0.2501 0.8404
0.3011 0.8822 0.8443
0.1178 0.4189 0.5109
0.8862 0.1699 0.2014
0.5141 0.0176 0.3493
0.6442 0.0859 0.0284
0.4559 0.6922 0.4400
0.8228 0.3946 0.3241
0.5719 0.1772 0.6575
0.3078 0.7637 0.1066
0.6054 0.4281 0.9908
0.2363 0.5441 0.7733
0.1046 0.9940 0.8915
0.8894 0.8954 0.2248
0.0060 0.1106 0.5582
0.3760 0.3942 0.2199
0.6058 0.9818 0.8865
0.9451 0.2236 0.0514
0.0182 0.6240 0.5532
0.7764 0.7214 0.7181
0.2786 0.0549 0.3847
```

Spin magnetization ... 18.00 Bohr magnetons per cell
Calculated total energy ... -302.04 eV per cell